Here is Ac6Al2Hg after structural relaxation from Alexandria. Energies are from PBE-GGA.

Geometry as extended XYZ:
```
18
Lattice="-5.359 5.463 5.705 5.359 -5.463 5.705 5.359 5.463 -5.705" Properties=species:S:1:pos:R:3 pbc="T T T"
Ac 5.359 -3.183 3.703
Ac 3.213 0.000 2.836
Ac 7.504 0.000 2.836
Ac 3.454 2.921 0.000
Ac 7.264 2.921 0.000
Ac 0.000 2.279 2.002
Ac 5.359 3.183 3.703
Ac -1.905 2.541 5.705
Ac 1.905 2.541 5.705
Ac -2.146 5.463 2.869
Ac 2.146 5.463 2.869
Ac 0.000 8.646 2.002
Al 1.425 0.000 0.000
Al 9.293 0.000 0.000
Al 0.000 0.000 4.383
Al 0.000 0.000 7.026
Hg 5.359 0.000 0.000
Hg 0.000 5.463 0.000
```

Output
SG ... No. 71
Raw total energy ... -3.80 eV per atom

=====

Here is Dy3BiSb2 after structural relaxation from Alexandria. Energies are from PBE-GGA.

Geometry as extended XYZ:
```
6
Lattice="-2.205 3.119 6.624 2.205 -3.119 6.624 2.205 3.119 -6.624" Properties=species:S:1:pos:R:3 pbc="T T T"
Dy 0.000 0.000 0.000
Dy 0.000 0.000 4.363
Dy 0.000 0.000 8.886
Bi 0.000 3.119 0.000
Sb 2.205 0.000 2.192
Sb 0.000 3.119 4.432
```

Output
SG ... No. 71
Raw total energy ... -5.36 eV per atom
Energy relative to the elements, uncorrected ... -1.04 eV/atom

=====

Here is K2LiFe after structural relaxation from Alexandria. Energies are from PBE-GGA.

Geometry as extended XYZ:
```
4
Lattice="6.136 0.000 0.000 0.000 6.136 0.000 0.000 0.000 3.939" Properties=species:S:1:pos:R:3 pbc="T T T"
K 0.000 3.068 0.000
K 3.068 0.000 0.000
Li 0.000 0.000 1.970
Fe 3.068 3.068 1.970
```

Output
Energy relative to the lowest polymorph listed for this composition ... 178 meV per atom
SG ... No. 123
Raw total energy ... -2.30 eV per atom

=====

Here is Ti2CrCo after structural relaxation from Alexandria. Energies are from PBE-GGA.

Geometry as extended XYZ:
```
4
Lattice="-1.301 2.303 4.732 1.301 -2.303 4.732 1.301 2.303 -4.732" Properties=species:S:1:pos:R:3 pbc="T T T"
Ti 0.000 0.000 2.261
Ti 0.000 0.000 7.203
Cr 0.000 0.000 4.732
Co 0.000 0.000 0.000
```

Output
SG ... No. 71
Raw total energy ... -7.65 eV per atom

=====

Look up the raw total energy of the third one. -2.30 eV per atom

=====

Please write out number 4 again, unchanged.
Here is Ti2CrCo after structural relaxation from Alexandria. Energies are from PBE-GGA.

Geometry as extended XYZ:
```
4
Lattice="-1.301 2.303 4.732 1.301 -2.303 4.732 1.301 2.303 -4.732" Properties=species:S:1:pos:R:3 pbc="T T T"
Ti 0.000 0.000 2.261
Ti 0.000 0.000 7.203
Cr 0.000 0.000 4.732
Co 0.000 0.000 0.000
```

Output
SG ... No. 71
Raw total energy ... -7.65 eV per atom

=====

Copy entry 1 word for word.
Here is Ac6Al2Hg after structural relaxation from Alexandria. Energies are from PBE-GGA.

Geometry as extended XYZ:
```
18
Lattice="-5.359 5.463 5.705 5.359 -5.463 5.705 5.359 5.463 -5.705" Properties=species:S:1:pos:R:3 pbc="T T T"
Ac 5.359 -3.183 3.703
Ac 3.213 0.000 2.836
Ac 7.504 0.000 2.836
Ac 3.454 2.921 0.000
Ac 7.264 2.921 0.000
Ac 0.000 2.279 2.002
Ac 5.359 3.183 3.703
Ac -1.905 2.541 5.705
Ac 1.905 2.541 5.705
Ac -2.146 5.463 2.869
Ac 2.146 5.463 2.869
Ac 0.000 8.646 2.002
Al 1.425 0.000 0.000
Al 9.293 0.000 0.000
Al 0.000 0.000 4.383
Al 0.000 0.000 7.026
Hg 5.359 0.000 0.000
Hg 0.000 5.463 0.000
```

Output
SG ... No. 71
Raw total energy ... -3.80 eV per atom

=====

What is the formula in the first record? Ac6Al2Hg